No. 1
Material: LiHoTmAl
Method: DFT, PBE
State: optimized geometry

Calculated values
crystal system = cubic
calculated formation energy = -20.1 kJ/mol of atoms
DOS(E_F) = 14.10 states/eV per cell

a b c (Å): 7.219 7.219 7.219
angles (deg): 90.00 90.00 90.00
Space group F-43m (No. 216)
Symmetry-distinct sites (fractional):
Li 0.000 0.000 0.000 [4 per cell]
Ho 0.250 0.250 0.250 [4 per cell]
Tm 0.250 0.250 0.750 [4 per cell]
Al 0.000 0.000 0.500 [4 per cell]


No. 2
Material: KCe4Cu3Se12
Method: DFT, PBE
State: optimized geometry

Calculated values
crystal system = cubic
uncorrected formation energy = -0.939 eV per atom
DOS(E_F) = 30.09 states/eV per cell

a b c (Å): 10.349 10.349 10.349
angles (deg): 90.00 90.00 90.00
Space group Im-3 (No. 204)
Symmetry-distinct sites (fractional):
K 0.000 0.000 0.000 [2 per cell]
Ce 0.250 0.250 0.250 [8 per cell]
Cu 0.000 0.000 0.500 [6 per cell]
Se 0.000 0.158 0.327 [24 per cell]


No. 3
Material: AcZrPb2
Method: DFT, PBE
State: optimized geometry

Calculated values
crystal system = trigonal
calculated formation energy = -10.3 kJ/mol of atoms
DOS(E_F) = 8.77 states/eV per cell

a b c (Å): 3.5809 3.5809 32.1736
angles (deg): 90.00 90.00 120.00
Space group R-3m (No. 166, hexagonal axes)
Symmetry-distinct sites (fractional):
Ac 0.0000 0.0000 0.0000 [3 per cell]
Zr 0.0000 0.0000 0.5000 [3 per cell]
Pb 0.0000 0.0000 0.2419 [6 per cell]


No. 4
Material: CsBaOsO4
Method: DFT, PBE
State: optimized geometry

Calculated values
crystal system = monoclinic
uncorrected formation energy = -1.572 eV per atom

a b c (Å): 6.895 6.160 8.008
angles (deg): 90.00 104.52 90.00
Space group P2_1/m (No. 11)
Symmetry-distinct sites (fractional):
Cs 0.239 0.250 0.453 [2 per cell]
Ba 0.292 0.250 0.969 [2 per cell]
Os 0.244 0.750 0.170 [2 per cell]
O 0.087 0.750 0.318 [2 per cell]
O 0.097 0.750 0.949 [2 per cell]
O 0.465 0.550 0.203 [4 per cell]


No. 5
Material: YPSe4
Method: DFT, PBE
State: optimized geometry

Calculated values
crystal system = cubic
uncorrected formation energy = 0.155 eV per atom
DOS(E_F) = 16.33 states/eV per cell

a b c (Å): 8.006 8.006 8.006
angles (deg): 90.00 90.00 90.00
Space group F-43m (No. 216)
Symmetry-distinct sites (fractional):
Y 0.000 0.000 0.000 [4 per cell]
P 0.250 0.250 0.750 [4 per cell]
Se 0.125 0.125 0.375 [16 per cell]


No. 6
Material: Nb2Zn3Co
Method: DFT, PBE
State: optimized geometry

Calculated values
crystal system = hexagonal
calculated formation energy = -9.7 kJ/mol of atoms
DOS(E_F) = 11.43 states/eV per cell

a b c (Å): 4.9698 4.9698 8.1485
angles (deg): 90.00 90.00 120.00
Space group P6_3/mmc (No. 194)
Symmetry-distinct sites (fractional):
Nb 0.3333 0.6667 0.0584 [4 per cell]
Zn 0.1679 0.3357 0.7500 [6 per cell]
Co 0.0000 0.0000 0.0000 [2 per cell]


No. 7
Material: Ti3GeCl
Method: DFT, PBE
State: optimized geometry

Calculated values
energy above the lowest structure with this stoichiometry = 0 meV per atom
crystal system = cubic
uncorrected formation energy = 0.037 eV per atom
DOS(E_F) = 8.61 states/eV per cell

a b c (Å): 4.439 4.439 4.439
angles (deg): 90.00 90.00 90.00
Space group Pm-3m (No. 221)
Symmetry-distinct sites (fractional):
Ti 0.000 0.000 0.500 [3 per cell]
Ge 0.500 0.500 0.500 [1 per cell]
Cl 0.000 0.000 0.000 [1 per cell]


No. 8
Material: PuTh3As4
Method: DFT, PBE
State: optimized geometry

Calculated values
crystal system = cubic
calculated formation energy = -128.6 kJ/mol of atoms
DOS(E_F) = 11.07 states/eV per cell

a b c (Å): 5.992 5.992 5.992
angles (deg): 90.00 90.00 90.00
Space group Pm-3m (No. 221)
Symmetry-distinct sites (fractional):
Pu 0.000 0.000 0.000 [1 per cell]
Th 0.000 0.500 0.500 [3 per cell]
As 0.000 0.000 0.500 [3 per cell]
As 0.500 0.500 0.500 [1 per cell]